This record from OQMD via LeMat-Bulk describes a geometry-optimized SiAg2Te2 structure. The functional is PBE-GGA.

Unit cell a=4.466 b=4.466 c=7.166 alpha=108.16 beta=108.16 gamma=90.00
Sites, in units of the cell vectors:
Ag 0.601 0.601 0.202
Ag 0.399 0.399 0.798
Si 0.000 0.000 0.000
Te 0.750 0.250 0.500
Te 0.250 0.750 0.500

- Total energy: -2.84 eV/atom

---

This record from OQMD via LeMat-Bulk describes a geometry-optimized TmZn structure. The functional is PBE-GGA.

Unit cell a=6.387 b=6.387 c=5.221 alpha=90.00 beta=90.00 gamma=120.00
Sites, in units of the cell vectors:
Tm 0.000 0.000 0.000
Tm 0.831 0.169 0.500
Tm 0.339 0.169 0.500
Tm 0.831 0.661 0.500
Zn 0.514 0.029 0.000
Zn 0.971 0.486 0.000
Zn 0.514 0.486 0.000
Zn 0.333 0.667 0.500

- Formation energy: 0.074 eV per atom

---

This record from OQMD via LeMat-Bulk describes a geometry-optimized NdY2Mg3Ir3 structure. The functional is PBE-GGA.

Unit cell a=4.086 b=7.324 c=7.324 alpha=120.04 beta=90.00 gamma=90.00
Sites, in units of the cell vectors:
Ir 0.500 0.670 0.331
Ir 0.500 0.331 0.670
Ir 0.000 0.996 0.996
Mg 0.500 0.997 0.243
Mg 0.500 0.759 0.759
Mg 0.500 0.243 0.997
Nd 0.000 0.412 0.412
Y 0.000 0.592 0.000
Y 0.000 0.000 0.592

- Total energy: -6.08 eV/atom

---

This record from OQMD via LeMat-Bulk describes a geometry-optimized RbLiPtW structure. The functional is PBE-GGA.

Unit cell a=5.008 b=5.008 c=5.008 alpha=60.00 beta=60.00 gamma=60.00
Sites, in units of the cell vectors:
Li 0.750 0.750 0.750
Pt 0.500 0.500 0.500
Rb 0.250 0.250 0.250
W 0.000 0.000 0.000

- Total energy: -3.84 eV/atom

---

This record from OQMD via LeMat-Bulk describes a geometry-optimized AlCo2 structure. The functional is PBE-GGA.

Unit cell a=4.662 b=4.662 c=7.400 alpha=90.00 beta=90.00 gamma=116.14
Last column: magnetic moment on the atom in μB.
Sites, in units of the cell vectors:
Al 0.335 0.155 0.250  -0.03
Al 0.845 0.665 0.250  -0.03
Al 0.155 0.335 0.750  -0.03
Al 0.665 0.845 0.750  -0.03
Co 0.500 0.500 0.000  1.06
Co 0.833 0.167 0.062  1.38
Co 0.333 0.667 0.250  0.94
Co 0.833 0.167 0.438  1.39
Co 0.500 0.500 0.500  1.05
Co 0.167 0.833 0.562  1.39
Co 0.667 0.333 0.750  0.94
Co 0.167 0.833 0.938  1.38

- Total energy: -6.04 eV/atom

---

This record from OQMD via LeMat-Bulk describes a geometry-optimized BaHoIn structure. The functional is PBE-GGA.

Unit cell a=5.377 b=5.377 c=5.377 alpha=60.00 beta=60.00 gamma=60.00
Sites, in units of the cell vectors:
Ba 0.250 0.250 0.250
Ho 0.000 0.000 0.000
In 0.750 0.750 0.750

- Total energy: -2.91 eV/atom

---

This record from OQMD via LeMat-Bulk describes a geometry-optimized Pr3Mg3In2Pd structure. The functional is PBE-GGA.

Unit cell a=7.691 b=7.691 c=4.653 alpha=90.00 beta=90.00 gamma=120.00
Sites, in units of the cell vectors:
In 0.667 0.333 0.500
In 0.333 0.667 0.500
Mg 0.770 0.000 0.500
Mg 0.230 0.230 0.500
Mg 0.000 0.770 0.500
Pd 0.000 0.000 0.000
Pr 0.402 0.000 0.000
Pr 0.000 0.402 0.000
Pr 0.598 0.598 0.000

- Total energy: -3.77 eV/atom

---

This record from OQMD via LeMat-Bulk describes a geometry-optimized Hf2InAg2 structure. The functional is PBE-GGA.

Unit cell a=7.266 b=7.266 c=7.266 alpha=147.55 beta=147.55 gamma=46.55
Sites, in units of the cell vectors:
Ag 0.750 0.250 0.500
Ag 0.250 0.750 0.500
Hf 0.399 0.399 0.000
Hf 0.601 0.601 0.000
In 0.000 0.000 0.000

- Total energy: -5.24 eV/atom